The following is a PBE calculation of a relaxed structure of Y2MgGa3Ni4, from Alexandria.

Values from the calculation:
Size of the total moment = 0.0000 μB per atom
DFT formation energy = -0.491 eV/atom
Space group = P-4m2, No. 115

Lattice parameters (Å, degrees): 4.0239 4.0239 10.4280 90.00 90.00 90.00
With the nearest neighbours (Å) after each atom.
Atoms (fractional coordinates):
1 Y 0.0000 0.5000 0.2390  8 Ni 3.08-3.20, 6 Ga 3.09-3.38, 2 Mg 3.38
2 Y 0.5000 0.0000 0.7610  8 Ni 3.08-3.20, 6 Ga 3.09-3.38, 2 Mg 3.38
3 Mg 0.0000 0.0000 0.5000  4 Ni 2.53
4 Ga 0.0000 0.5000 0.8756  5 Ni 2.38-2.39
5 Ga 0.5000 0.0000 0.1244  5 Ni 2.38-2.39
6 Ga 0.5000 0.5000 0.5000  4 Ni 2.53
7 Ni 0.0000 0.0000 0.0000  4 Ga 2.39
8 Ni 0.0000 0.5000 0.6477  3 Ga 2.38-2.53, 2 Mg 2.53
9 Ni 0.5000 0.0000 0.3523  3 Ga 2.38-2.53, 2 Mg 2.53
10 Ni 0.5000 0.5000 0.0000  4 Ga 2.39